# Nb5Tc4Ni | the Alexandria database | PBE | optimized geometry
# Energy relative to the elements = -279.5 meV per atom
# DFT total energy = -10.039 eV/atom
# Mass density = 9.486 g cm⁻³
data_Nb5Tc4Ni
_cell_length_a 3.2022
_cell_length_b 3.2022
_cell_length_c 15.6249
_cell_angle_alpha 90.00
_cell_angle_beta 90.00
_cell_angle_gamma 90.00
_symmetry_space_group_name_H-M 'P 4/m m m'
_symmetry_Int_Tables_number 123
_symmetry_space_group_name_Hall '-P 4 2'
loop_
_atom_site_label
_atom_site_type_symbol
_atom_site_fract_x
_atom_site_fract_y
_atom_site_fract_z
Nb1 Nb 0.0000 0.0000 0.0000
Nb2 Nb 0.0000 0.0000 0.2042
Nb3 Nb 0.0000 0.0000 0.4051
Tc1 Tc 0.5000 0.5000 0.1019
Tc2 Tc 0.5000 0.5000 0.3067
Ni1 Ni 0.5000 0.5000 0.5000



# La6Ge2SeCl3 | the Alexandria database | PBE | optimized geometry
# DFT total energy = -5.491 eV/atom
# Mass density = 5.710 g cm⁻³
# Formation energy from raw total energies = -34.7 kcal/mol of atoms
data_La6Ge2SeCl3
_cell_length_a 7.5349
_cell_length_b 13.0812
_cell_length_c 7.3150
_cell_angle_alpha 90.00
_cell_angle_beta 110.11
_cell_angle_gamma 90.00
_symmetry_space_group_name_H-M 'C 1 2/m 1'
_symmetry_Int_Tables_number 12
_symmetry_space_group_name_Hall '-C 2y'
loop_
_atom_site_label
_atom_site_type_symbol
_atom_site_fract_x
_atom_site_fract_y
_atom_site_fract_z
La1 La 0.2426 0.0000 0.2403
La2 La 0.2483 0.3311 0.2396
Ge1 Ge 0.0000 0.1662 0.0000
Se1 Se 0.0000 0.5000 0.0000
Cl1 Cl 0.0000 0.0000 0.5000
Cl2 Cl 0.0000 0.3308 0.5000



# EuHPt | the Alexandria database | PBE | optimized geometry
# DFT total energy = -6.967 eV/atom
# Offset from the most stable computed form = 4 meV/atom
# Mass density = 9.587 g cm⁻³
data_EuHPt
_cell_length_a 4.0924
_cell_length_b 4.0924
_cell_length_c 7.1989
_cell_angle_alpha 90.00
_cell_angle_beta 90.00
_cell_angle_gamma 90.00
_symmetry_space_group_name_H-M 'I 4 m m'
_symmetry_Int_Tables_number 107
_symmetry_space_group_name_Hall 'I 4 -2'
loop_
_atom_site_label
_atom_site_type_symbol
_atom_site_fract_x
_atom_site_fract_y
_atom_site_fract_z
Eu1 Eu 0.0000 0.0000 0.0000
H1 H 0.0000 0.0000 0.6600
Pt1 Pt 0.0000 0.0000 0.4319



# Rb3Tm2TiS6 | the Alexandria database | PBE | optimized geometry
# DFT total energy = -5.337 eV/atom
# Mass density = 4.520 g cm⁻³
# Formation energy from raw total energies = -37.6 kcal/mol of atoms
data_Rb3Tm2TiS6
_cell_length_a 6.8075
_cell_length_b 11.7881
_cell_length_c 7.9718
_cell_angle_alpha 90.00
_cell_angle_beta 106.58
_cell_angle_gamma 90.00
_symmetry_space_group_name_H-M 'C 1 2/m 1'
_symmetry_Int_Tables_number 12
_symmetry_space_group_name_Hall '-C 2y'
loop_
_atom_site_label
_atom_site_type_symbol
_atom_site_fract_x
_atom_site_fract_y
_atom_site_fract_z
Rb1 Rb 0.0000 0.0000 0.0000
Rb2 Rb 0.0000 0.3303 0.0000
Tm1 Tm 0.0000 0.1663 0.5000
Ti1 Ti 0.0000 0.5000 0.5000
S1 S 0.2200 0.3417 0.6852
S2 S 0.2456 0.0000 0.6866



# LaUPd4 | the Alexandria database | PBE | optimized geometry
# Energy relative to the elements = -497.7 meV per atom
# DFT total energy = -6.662 eV/atom
# Mass density = 11.313 g cm⁻³
data_LaUPd4
_cell_length_a 7.7819
_cell_length_b 7.7819
_cell_length_c 7.7819
_cell_angle_alpha 90.00
_cell_angle_beta 90.00
_cell_angle_gamma 90.00
_symmetry_space_group_name_H-M 'F -4 3 m'
_symmetry_Int_Tables_number 216
_symmetry_space_group_name_Hall 'F -4 2 3'
loop_
_atom_site_label
_atom_site_type_symbol
_atom_site_fract_x
_atom_site_fract_y
_atom_site_fract_z
La1 La 0.0000 0.0000 0.0000
U1 U 0.2500 0.2500 0.7500
Pd1 Pd 0.1244 0.1244 0.3756



# Nd2Dy3Ho6Pu | the Alexandria database | PBE | optimized geometry
# Energy relative to the elements = 47.7 meV per atom
# DFT total energy = -5.381 eV/atom
# Mass density = 8.856 g cm⁻³
data_Nd2Dy3Ho6Pu
_cell_length_a 6.1435
_cell_length_b 10.6501
_cell_length_c 11.7006
_cell_angle_alpha 90.00
_cell_angle_beta 100.13
_cell_angle_gamma 90.00
_symmetry_space_group_name_H-M 'C 1 2/m 1'
_symmetry_Int_Tables_number 12
_symmetry_space_group_name_Hall '-C 2y'
loop_
_atom_site_label
_atom_site_type_symbol
_atom_site_fract_x
_atom_site_fract_y
_atom_site_fract_z
Nd1 Nd 0.0000 0.1665 0.0000
Dy1 Dy 0.0000 0.0000 0.5000
Dy2 Dy 0.0000 0.3331 0.5000
Ho1 Ho 0.2459 0.5000 0.7491
Ho2 Ho 0.2475 0.3355 0.2507
Pu1 Pu 0.0000 0.5000 0.0000